Below is a relaxed SmZn5 crystal, with properties calculated at the PBE level.

abc: 4.4567 4.3751 6.0591
angles: 111.16 90.00 90.00
Sites, in units of the cell vectors:
Sm  0.0000  0.0000  0.0000
Zn  0.5000  0.5000  0.0000
Zn  0.0000  0.6868  0.3736
Zn  0.0000  0.3132  0.6264
Zn  0.5000  0.1771  0.3542
Zn  0.5000  0.8229  0.6458

## Properties
Calculated total energy   -1.999 eV per atom
Calculated density   7.2 Mg/m³
Energy relative to the elements   -0.15 eV per atom
Symmetry   Cmmm
DOS at the Fermi energy   2.13 states/eV per cell